(P)
Compound: Ba2SrI6
Source: Alexandria
Functional: GGA-PBEsol
Structure: relaxed

Cell and atoms, written as POSCAR:
```
Ba2SrI6
1.0
4.919 0.000 0.000
0.000 9.045 0.000
0.000 -4.522 7.833
Ba I Sr
2 6 1
Cartesian
2.459 4.522 2.611 Ba
2.459 0.000 5.222 Ba
2.459 -1.131 1.958 I
0.000 5.375 0.000 I
2.459 2.261 0.000 I
2.459 3.392 5.875 I
0.000 1.835 3.178 I
0.000 -2.687 4.655 I
0.000 0.000 0.000 Sr
```

=====

(Q)
Compound: Ba2SrI6
Source: Alexandria
Functional: GGA-PBEsol
Structure: relaxed

Cell and atoms, written as POSCAR:
```
Ba2SrI6
1.0
8.087 0.000 0.000
0.000 8.087 0.000
0.000 0.000 24.366
Ba I Sr
8 24 4
Cartesian
0.000 4.043 4.024 Ba
4.043 0.000 20.342 Ba
0.000 0.000 8.154 Ba
4.043 4.043 16.212 Ba
0.000 0.000 16.212 Ba
4.043 4.043 8.154 Ba
0.000 4.043 20.342 Ba
4.043 0.000 4.024 Ba
6.061 6.060 1.948 I
2.022 6.068 6.089 I
2.016 6.065 14.133 I
2.022 2.016 10.233 I
2.024 6.065 18.277 I
6.065 2.019 6.089 I
6.065 6.063 6.089 I
2.021 6.059 10.233 I
6.071 2.022 14.133 I
6.059 6.065 14.133 I
2.019 2.022 18.277 I
2.021 2.024 6.089 I
2.026 2.027 1.948 I
2.027 2.021 14.133 I
6.068 6.065 18.277 I
6.070 6.070 22.418 I
6.065 6.071 10.233 I
2.027 6.061 22.418 I
6.060 2.026 22.418 I
2.017 6.070 1.948 I
6.065 2.027 10.233 I
2.016 2.017 22.418 I
6.070 2.016 1.948 I
6.063 2.021 18.277 I
0.000 0.000 0.000 Sr
4.043 0.000 12.183 Sr
4.043 4.043 0.000 Sr
0.000 4.043 12.183 Sr
```

=====

(R)
Compound: Ba2SrI6
Source: Alexandria
Functional: GGA-PBEsol
Structure: relaxed

Cell and atoms, written as POSCAR:
```
Ba2SrI6
1.0
7.830 0.000 0.000
0.000 7.830 0.000
0.000 0.000 15.359
I Ba Sr
12 4 2
Cartesian
2.408 2.408 12.908 I
5.520 5.520 7.679 I
6.226 1.604 0.000 I
1.508 6.323 5.229 I
2.408 2.408 2.450 I
6.323 1.508 10.130 I
1.508 6.323 10.130 I
5.423 5.423 2.450 I
5.423 5.423 12.908 I
1.604 6.226 0.000 I
6.323 1.508 5.229 I
2.311 2.311 7.679 I
3.915 3.915 5.123 Ba
0.000 0.000 2.556 Ba
3.915 3.915 10.236 Ba
0.000 0.000 12.802 Ba
0.000 0.000 7.679 Sr
3.915 3.915 0.000 Sr
```

=====

Of all the structures shown, which is most stable? (P), and (R) is the least stable.